Entry from the Alexandria database: a relaxed structure of SrLiPmIr (PBE).

a = 7.2639 Å, b = 7.2639 Å, c = 7.2639 Å
α = 90.00°, β = 90.00°, γ = 90.00°
Last column: nearest neighbours and their distance in Å.
Space group F-43m (No. 216)
One atom of each set of equivalent atoms:
Sr 0.0000 0.0000 0.0000 x4  4 Li 3.15, 4 Ir 3.15
Li 0.2500 0.2500 0.7500 x4  4 Pm 3.15, 4 Sr 3.15
Pm 0.0000 0.0000 0.5000 x4  4 Li 3.15, 4 Ir 3.15
Ir 0.2500 0.2500 0.2500 x4  4 Pm 3.15, 4 Sr 3.15

Output
E_tot: -4.521 eV per atom
Energy of formation from the pure elements: -0.219 eV/atom

***

Entry from the Alexandria database: a relaxed structure of TlRhI2O (PBE).

a = 5.8834 Å, b = 5.8834 Å, c = 3.8044 Å
α = 90.00°, β = 90.00°, γ = 90.00°
Last column: nearest neighbours and their distance in Å.
Space group P4/mmm (No. 123)
One atom of each set of equivalent atoms:
Tl 0.0000 0.0000 0.0000 x1  8 I 3.50, 2 Tl 3.80
Rh 0.5000 0.5000 0.5000 x1  2 O 1.90
I 0.0000 0.5000 0.5000 x2  2 Rh 2.94
O 0.5000 0.5000 0.0000 x1  2 Rh 1.90

Output
E_tot: -3.892 eV per atom
Relative energy among the computed polymorphs: 0 meV/atom
E_form (uncorrected): -0.336 eV per atom

***

Entry from the Alexandria database: a relaxed structure of Sm8Sn5Ge (PBE).

a = 9.4042 Å, b = 9.4042 Å, c = 9.4647 Å
α = 90.00°, β = 90.00°, γ = 90.00°
Last column: nearest neighbours and their distance in Å.
Space group I-4 (No. 82)
One atom of each set of equivalent atoms:
Sm 0.0678 0.1902 0.3039 x8  1 Ge 3.03, 2 Sn 3.12-3.15
Sm 0.0701 0.3217 0.9479 x8  5 Sn 3.13-3.42, 1 Ge 3.38
Sn 0.0000 0.0000 0.0000 x2  8 Sm 3.13-3.45
Sn 0.1225 0.2497 0.6266 x8  8 Sm 3.12-3.47
Ge 0.0000 0.5000 0.2500 x2  8 Sm 3.03-3.38

Output
E_tot: -5.209 eV per atom
Energy of formation from the pure elements: -0.753 eV/atom

***

Entry from the Alexandria database: a relaxed structure of Ca2SiP (PBE).

a = 7.0877 Å, b = 7.0877 Å, c = 7.0877 Å
α = 90.00°, β = 90.00°, γ = 90.00°
Last column: nearest neighbours and their distance in Å.
Space group F-43m (No. 216)
One atom of each set of equivalent atoms:
Ca 0.0000 0.0000 0.0000 x4  4 Ca 3.07, 4 P 3.07
Ca 0.2500 0.2500 0.2500 x4  4 Ca 3.07, 4 Si 3.07
Si 0.0000 0.0000 0.5000 x4  4 Ca 3.07, 4 P 3.07
P 0.2500 0.2500 0.7500 x4  4 Si 3.07, 4 Ca 3.07

Output
E_tot: -3.652 eV per atom
Relative energy among the computed polymorphs: 610 meV/atom
E_form (uncorrected): 0.057 eV per atom

***

Entry from the Alexandria database: a relaxed structure of La2PmH6 (PBE).

a = 3.9212 Å, b = 3.9212 Å, c = 16.7391 Å
α = 90.00°, β = 90.00°, γ = 90.00°
Last column: nearest neighbours and their distance in Å.
Space group I4/mmm (No. 139)
One atom of each set of equivalent atoms:
La 0.0000 0.0000 0.1643 x4  8 H 2.43
Pm 0.0000 0.0000 0.5000 x2  8 H 2.36
H 0.0000 0.5000 0.0785 x8  2 Pm 2.36, 2 La 2.43, 1 H 2.63
H 0.0000 0.5000 0.2500 x4  4 La 2.43

Output
E_tot: -4.514 eV per atom

***

Entry from the Alexandria database: a relaxed structure of La2VZn2 (PBE).

a = 3.6539 Å, b = 3.6539 Å, c = 18.9589 Å
α = 90.00°, β = 90.00°, γ = 90.00°
Last column: nearest neighbours and their distance in Å.
Space group I4/mmm (No. 139)
One atom of each set of equivalent atoms:
La 0.0000 0.0000 0.0996 x4  4 V 3.20, 4 Zn 3.39
V 0.0000 0.0000 0.5000 x2  8 La 3.20
Zn 0.0000 0.5000 0.2500 x4  4 Zn 2.58

Output
E_tot: -4.089 eV per atom
Relative energy among the computed polymorphs: 150 meV/atom
Energy of formation from the pure elements: 0.216 eV/atom

***

Entry from the Alexandria database: a relaxed structure of CaScTlB2 (PBE).

a = 4.6967 Å, b = 4.6967 Å, c = 5.3918 Å
α = 90.00°, β = 90.00°, γ = 90.00°
Last column: nearest neighbours and their distance in Å.
Space group P4/mmm (No. 123)
One atom of each set of equivalent atoms:
Ca 0.0000 0.0000 0.0000 x1  4 B 2.35
Sc 0.5000 0.5000 0.5000 x1  4 Tl 3.32, 8 B 3.58
Tl 0.0000 0.0000 0.5000 x1  2 Ca 2.70
B 0.0000 0.5000 0.0000 x2  2 Ca 2.35

Output
E_tot: -3.120 eV per atom
Energy of formation from the pure elements: 1.691 eV/atom

***

Entry from the Alexandria database: a relaxed structure of PaNbO6 (PBE).

a = 5.3145 Å, b = 9.0620 Å, c = 5.2803 Å
α = 90.00°, β = 103.33°, γ = 90.00°
Last column: nearest neighbours and their distance in Å.
Space group C2/m (No. 12)
One atom of each set of equivalent atoms:
Pa 0.0000 0.0000 0.0000 x2  6 O 2.15-2.16
Nb 0.0000 0.5000 0.5000 x2  6 O 1.99-2.02
O 0.2336 0.3584 0.7412 x8  1 Nb 2.02, 1 Pa 2.15
O 0.2435 0.5000 0.2636 x4  1 Nb 1.99, 1 Pa 2.16

Output
E_tot: -8.434 eV per atom
Relative energy among the computed polymorphs: 116 meV/atom
E_form (uncorrected): -2.270 eV per atom

***

| no. | D(E_F) (states/eV per cell) |
| --- | --- |
| 1 | 9.83 |
| 2 | 3.40 |
| 3 | 3.12 |
| 4 | 12.13 |
| 5 | 5.56 |
| 6 | 8.63 |
| 7 | 5.32 |
| 8 | 11.00 |